(1)
Density functional theory data (PBE) for a relaxed structure of LaCuSeO.

Summary:
* space group: P4/nmm (129)
* electronic total energy: -6.39 eV per atom
* raw formation energy: -2027 meV/atom

Unit cell a=4.070 b=4.070 c=8.826 alpha=90.00 beta=90.00 gamma=90.00
Fractional coordinates of all 8 atoms:
1 Se 0.000 0.500 0.331
2 Cu 0.500 0.500 0.500
3 Cu 0.000 0.000 0.500
4 O 0.000 0.000 0.000
5 La 0.500 0.000 0.140
6 Se 0.500 0.000 0.669
7 La 0.000 0.500 0.860
8 O 0.500 0.500 0.000

=====

(2)
Density functional theory data (PBE) for a relaxed structure of AcHoGaIr.

Summary:
* space group: F-43m (216)
* ΔE_f: -0.459 eV/atom
* electronic total energy: -5.60 eV per atom

Unit cell a=5.182 b=5.182 c=5.182 alpha=60.00 beta=60.00 gamma=60.00
Fractional coordinates of all 4 atoms:
1 Ir 0.500 0.500 0.500
2 Ga 0.000 0.000 0.000
3 Ho 0.750 0.750 0.750
4 Ac 0.250 0.250 0.250

=====

(3)
Density functional theory data (PBE) for a relaxed structure of Ca2MgAu.

Summary:
* space group: R3m (160)
* ΔE_f: -0.306 eV/atom
* electronic total energy: -2.53 eV per atom

Unit cell a=4.142 b=4.142 c=8.948 alpha=76.62 beta=76.62 gamma=60.00
Fractional coordinates of all 4 atoms:
1 Ca 0.067 0.067 0.798
2 Au 0.666 0.666 0.002
3 Ca 0.266 0.266 0.203
4 Mg 0.501 0.501 0.497

=====

(4)
Density functional theory data (PBE) for a relaxed structure of Ac4Co2Cu5.

Summary:
* space group: P2/m (10)
* ΔE_f: -0.053 eV/atom
* electronic total energy: -4.70 eV per atom

Unit cell a=4.253 b=7.126 c=8.430 alpha=88.15 beta=90.00 gamma=90.00
Fractional coordinates of all 11 atoms:
1 Ac 0.500 0.772 0.148
2 Ac 0.500 0.228 0.852
3 Cu 0.000 0.500 0.000
4 Ac 0.500 0.751 0.629
5 Ac 0.500 0.249 0.371
6 Cu 0.000 0.601 0.380
7 Cu 0.000 0.129 0.114
8 Co 0.000 0.052 0.627
9 Co 0.000 0.948 0.373
10 Cu 0.000 0.399 0.620
11 Cu 0.000 0.871 0.886

=====

Q: Which of these has the lowest electronic total energy?
A: LaCuSeO

=====

Q: Number 1 is which compound?
A: LaCuSeO

=====

Q: The highest electronic total energy belongs to which entry?
A: Ca2MgAu